# 1
{
  "formula": "LaTaTeN2",
  "functional": "GGA-PBEsol",
  "state": "relaxed",
  "polymorph_energy_mev_per_atom": 1711,
  "formation_energy_uncorrected_ev_per_atom": 1.22,
  "spacegroup": "P4/mmm (123)",
  "lattice": [[4.137, 0.000, 0.000], [0.000, 4.137, 0.000], [0.000, 0.000, 6.474]],
  "species": ["La", "Ta", "Te", "N", "N"],
  "frac_coords": [[0.000, 0.000, 0.000], [0.500, 0.500, 0.500], [0.000, 0.000, 0.500], [0.000, 0.500, 0.000], [0.500, 0.000, 0.000]]
}

=====

# 2
{
  "formula": "LaTcN3",
  "functional": "GGA-PBEsol",
  "state": "relaxed",
  "formation_energy_uncorrected_ev_per_atom": -0.81,
  "spacegroup": "R-3c (167)",
  "lattice": [[2.767, 1.598, 4.478], [-2.767, 1.598, 4.478], [0.000, -3.195, 4.478]],
  "species": ["La", "La", "Tc", "Tc", "N", "N", "N", "N", "N", "N"],
  "frac_coords": [[0.250, 0.250, 0.250], [0.750, 0.750, 0.750], [0.000, 0.000, 0.000], [0.500, 0.500, 0.500], [0.211, 0.750, 0.289], [0.250, 0.711, 0.789], [0.289, 0.211, 0.750], [0.711, 0.789, 0.250], [0.750, 0.289, 0.211], [0.789, 0.250, 0.711]]
}

=====

# 3
{
  "formula": "LaTcN3",
  "functional": "GGA-PBEsol",
  "state": "relaxed",
  "formation_energy_uncorrected_ev_per_atom": -0.73,
  "spacegroup": "P2/m (10)",
  "lattice": [[5.620, 0.000, 0.000], [0.000, 3.495, 0.000], [-2.539, 0.000, 6.919]],
  "species": ["La", "La", "Tc", "Tc", "N", "N", "N", "N", "N", "N"],
  "frac_coords": [[0.171, 0.000, 0.306], [0.829, 0.000, 0.694], [0.325, 0.500, 0.698], [0.675, 0.500, 0.302], [0.000, 0.500, 0.500], [0.246, 0.500, 0.919], [0.296, 0.500, 0.098], [0.500, 0.500, 0.500], [0.704, 0.500, 0.902], [0.754, 0.500, 0.081]]
}

=====

# 4
{
  "formula": "LaTcN3",
  "functional": "GGA-PBEsol",
  "state": "relaxed",
  "formation_energy_uncorrected_ev_per_atom": -0.74,
  "spacegroup": "C2/c (15)",
  "lattice": [[5.248, -5.059, 0.000], [5.248, 5.059, 0.000], [-1.812, 0.000, 5.868]],
  "species": ["La", "La", "La", "La", "Tc", "Tc", "Tc", "Tc", "N", "N", "N", "N", "N", "N", "N", "N", "N", "N", "N", "N"],
  "frac_coords": [[0.093, 0.907, 0.750], [0.327, 0.673, 0.250], [0.673, 0.327, 0.750], [0.907, 0.093, 0.250], [0.201, 0.383, 0.743], [0.383, 0.201, 0.243], [0.617, 0.799, 0.757], [0.799, 0.617, 0.257], [0.000, 0.233, 0.660], [0.000, 0.767, 0.340], [0.140, 0.615, 0.860], [0.233, 0.000, 0.160], [0.326, 0.367, 0.499], [0.367, 0.326, 0.999], [0.385, 0.860, 0.640], [0.615, 0.140, 0.360], [0.633, 0.674, 0.001], [0.674, 0.633, 0.501], [0.767, 0.000, 0.840], [0.860, 0.385, 0.140]]
}

=====

# 5
{
  "formula": "LaTeN2",
  "functional": "GGA-PBEsol",
  "state": "relaxed",
  "formation_energy_uncorrected_ev_per_atom": -0.21,
  "spacegroup": "R-3m (166)",
  "lattice": [[1.886, 1.089, 6.564], [-1.886, 1.089, 6.564], [0.000, -2.178, 6.564]],
  "species": ["La", "Te", "N", "N"],
  "frac_coords": [[0.000, 0.000, 0.000], [0.500, 0.500, 0.500], [0.395, 0.395, 0.395], [0.605, 0.605, 0.605]]
}

=====

# 6
{
  "formula": "La2TeN",
  "functional": "GGA-PBEsol",
  "state": "relaxed",
  "formation_energy_uncorrected_ev_per_atom": -0.61,
  "spacegroup": "Fm-3m (225)",
  "lattice": [[0.000, 3.594, 3.594], [3.594, 0.000, 3.594], [3.594, 3.594, 0.000]],
  "species": ["La", "La", "Te", "N"],
  "frac_coords": [[0.250, 0.250, 0.250], [0.750, 0.750, 0.750], [0.000, 0.000, 0.000], [0.500, 0.500, 0.500]]
}

=====

# 7
{
  "formula": "La2TeN2",
  "functional": "GGA-PBEsol",
  "state": "relaxed",
  "formation_energy_uncorrected_ev_per_atom": -1.10,
  "spacegroup": "I4/mmm (139)",
  "lattice": [[-2.019, 2.019, 6.896], [2.019, -2.019, 6.896], [2.019, 2.019, -6.896]],
  "species": ["La", "La", "Te", "N", "N"],
  "frac_coords": [[0.160, 0.160, 0.000], [0.840, 0.840, 0.000], [0.500, 0.500, 0.000], [0.250, 0.750, 0.500], [0.750, 0.250, 0.500]]
}

=====

# 8
{
  "formula": "LaZrTeN2",
  "functional": "GGA-PBEsol",
  "state": "relaxed",
  "formation_energy_uncorrected_ev_per_atom": -0.55,
  "spacegroup": "P4/mmm (123)",
  "lattice": [[4.321, 0.000, 0.000], [0.000, 4.321, 0.000], [0.000, 0.000, 5.567]],
  "species": ["La", "Zr", "Te", "N", "N"],
  "frac_coords": [[0.000, 0.000, 0.000], [0.500, 0.500, 0.500], [0.500, 0.500, 0.000], [0.000, 0.500, 0.500], [0.500, 0.000, 0.500]]
}

=====

# 9
{
  "formula": "LaZrTe2N",
  "functional": "GGA-PBEsol",
  "state": "relaxed",
  "formation_energy_uncorrected_ev_per_atom": -0.87,
  "spacegroup": "P4/mmm (123)",
  "lattice": [[5.650, 0.000, 0.000], [0.000, 5.650, 0.000], [0.000, 0.000, 4.045]],
  "species": ["La", "Zr", "Te", "Te", "N"],
  "frac_coords": [[0.000, 0.000, 0.000], [0.500, 0.500, 0.500], [0.000, 0.500, 0.500], [0.500, 0.000, 0.500], [0.500, 0.500, 0.000]]
}

=====

# 10
{
  "formula": "LaThN2",
  "functional": "GGA-PBEsol",
  "state": "relaxed",
  "formation_energy_uncorrected_ev_per_atom": -1.64,
  "spacegroup": "R-3m (166)",
  "lattice": [[1.834, 1.059, 5.990], [-1.834, 1.059, 5.990], [0.000, -2.118, 5.990]],
  "species": ["La", "Th", "N", "N"],
  "frac_coords": [[0.000, 0.000, 0.000], [0.500, 0.500, 0.500], [0.242, 0.242, 0.242], [0.758, 0.758, 0.758]]
}

=====

# 11
{
  "formula": "La2Tl2N",
  "functional": "GGA-PBEsol",
  "state": "relaxed",
  "formation_energy_uncorrected_ev_per_atom": 0.60,
  "spacegroup": "I4/mmm (139)",
  "lattice": [[-3.172, 3.172, 3.615], [3.172, -3.172, 3.615], [3.172, 3.172, -3.615]],
  "species": ["La", "La", "Tl", "Tl", "N"],
  "frac_coords": [[0.250, 0.750, 0.500], [0.750, 0.250, 0.500], [0.189, 0.189, 0.000], [0.811, 0.811, 0.000], [0.500, 0.500, 0.000]]
}

=====

# 12
{
  "formula": "La3V2N6",
  "functional": "GGA-PBEsol",
  "state": "relaxed",
  "formation_energy_uncorrected_ev_per_atom": -1.49,
  "spacegroup": "I4/mmm (139)",
  "lattice": [[-1.932, 1.932, 9.909], [1.932, -1.932, 9.909], [1.932, 1.932, -9.909]],
  "species": ["La", "La", "La", "V", "V", "N", "N", "N", "N", "N", "N"],
  "frac_coords": [[0.000, 0.000, 0.000], [0.178, 0.178, 0.000], [0.822, 0.822, 0.000], [0.397, 0.397, 0.000], [0.603, 0.603, 0.000], [0.087, 0.587, 0.500], [0.307, 0.307, 0.000], [0.413, 0.913, 0.500], [0.587, 0.087, 0.500], [0.693, 0.693, 0.000], [0.913, 0.413, 0.500]]
}

=====

# 13
{
  "formula": "LaWN3",
  "functional": "GGA-PBEsol",
  "state": "relaxed",
  "formation_energy_uncorrected_ev_per_atom": -1.09,
  "spacegroup": "P2_1/m (11)",
  "lattice": [[5.795, 0.000, 0.000], [0.000, 3.858, 0.000], [-2.584, 0.000, 7.476]],
  "species": ["La", "La", "W", "W", "N", "N", "N", "N", "N", "N"],
  "frac_coords": [[0.247, 0.250, 0.185], [0.753, 0.750, 0.815], [0.140, 0.250, 0.668], [0.860, 0.750, 0.332], [0.024, 0.750, 0.610], [0.035, 0.250, 0.866], [0.468, 0.250, 0.742], [0.532, 0.750, 0.258], [0.965, 0.750, 0.134], [0.976, 0.250, 0.390]]
}

=====

# 14
{
  "formula": "LaWN3",
  "functional": "GGA-PBEsol",
  "state": "relaxed",
  "formation_energy_uncorrected_ev_per_atom": -1.16,
  "spacegroup": "P4mm (99)",
  "lattice": [[3.940, 0.000, 0.000], [0.000, 3.940, 0.000], [0.000, 0.000, 4.128]],
  "species": ["La", "W", "N", "N", "N"],
  "frac_coords": [[0.000, 0.000, 0.000], [0.500, 0.500, 0.478], [0.000, 0.500, 0.405], [0.500, 0.000, 0.405], [0.500, 0.500, 0.923]]
}

=====

# 15
{
  "formula": "LaWN3",
  "functional": "GGA-PBEsol",
  "state": "relaxed",
  "formation_energy_uncorrected_ev_per_atom": -1.07,
  "spacegroup": "C2/c (15)",
  "lattice": [[5.381, -5.012, 0.000], [5.381, 5.012, 0.000], [-1.974, 0.000, 5.997]],
  "species": ["La", "La", "La", "La", "W", "W", "W", "W", "N", "N", "N", "N", "N", "N", "N", "N", "N", "N", "N", "N"],
  "frac_coords": [[0.093, 0.907, 0.750], [0.310, 0.690, 0.250], [0.690, 0.310, 0.750], [0.907, 0.093, 0.250], [0.203, 0.381, 0.747], [0.381, 0.203, 0.247], [0.619, 0.797, 0.753], [0.797, 0.619, 0.253], [0.002, 0.225, 0.653], [0.123, 0.612, 0.858], [0.225, 0.002, 0.153], [0.328, 0.372, 0.505], [0.372, 0.328, 0.005], [0.388, 0.877, 0.642], [0.612, 0.123, 0.358], [0.628, 0.672, 0.995], [0.672, 0.628, 0.495], [0.775, 0.998, 0.847], [0.877, 0.388, 0.142], [0.998, 0.775, 0.347]]
}

=====

# 16
{
  "formula": "LaWN3",
  "functional": "GGA-PBEsol",
  "state": "relaxed",
  "formation_energy_uncorrected_ev_per_atom": -1.16,
  "spacegroup": "Pnma (62)",
  "lattice": [[5.601, 0.000, 0.000], [0.000, 7.908, 0.000], [0.000, 0.000, 5.642]],
  "species": ["La", "La", "La", "La", "W", "W", "W", "W", "N", "N", "N", "N", "N", "N", "N", "N", "N", "N", "N", "N"],
  "frac_coords": [[0.015, 0.250, 0.002], [0.485, 0.750, 0.502], [0.515, 0.250, 0.498], [0.985, 0.750, 0.998], [0.000, 0.000, 0.500], [0.000, 0.500, 0.500], [0.500, 0.000, 0.000], [0.500, 0.500, 0.000], [0.004, 0.750, 0.441], [0.230, 0.531, 0.768], [0.230, 0.969, 0.768], [0.270, 0.031, 0.268], [0.270, 0.469, 0.268], [0.496, 0.250, 0.941], [0.504, 0.750, 0.059], [0.730, 0.531, 0.732], [0.730, 0.969, 0.732], [0.770, 0.031, 0.232], [0.770, 0.469, 0.232], [0.996, 0.250, 0.559]]
}

=====

# 17
{
  "formula": "LaWN3",
  "functional": "GGA-PBEsol",
  "state": "relaxed",
  "formation_energy_uncorrected_ev_per_atom": -1.16,
  "spacegroup": "R-3c (167)",
  "lattice": [[2.818, 1.627, 4.543], [-2.818, 1.627, 4.543], [0.000, -3.254, 4.543]],
  "species": ["La", "La", "W", "W", "N", "N", "N", "N", "N", "N"],
  "frac_coords": [[0.250, 0.250, 0.250], [0.750, 0.750, 0.750], [0.000, 0.000, 0.000], [0.500, 0.500, 0.500], [0.199, 0.750, 0.301], [0.250, 0.699, 0.801], [0.301, 0.199, 0.750], [0.699, 0.801, 0.250], [0.750, 0.301, 0.199], [0.801, 0.250, 0.699]]
}

=====

# 18
{
  "formula": "La3WN",
  "functional": "GGA-PBEsol",
  "state": "relaxed",
  "formation_energy_uncorrected_ev_per_atom": 1.20,
  "spacegroup": "Pm-3m (221)",
  "lattice": [[5.348, 0.000, 0.000], [0.000, 5.348, 0.000], [0.000, 0.000, 5.348]],
  "species": ["La", "La", "La", "W", "N"],
  "frac_coords": [[0.000, 0.000, 0.500], [0.000, 0.500, 0.000], [0.500, 0.000, 0.000], [0.000, 0.000, 0.000], [0.500, 0.500, 0.500]]
}

=====

# 19
{
  "formula": "LaY3N",
  "functional": "GGA-PBEsol",
  "state": "relaxed",
  "formation_energy_uncorrected_ev_per_atom": 1.87,
  "spacegroup": "Pm-3m (221)",
  "lattice": [[5.408, 0.000, 0.000], [0.000, 5.408, 0.000], [0.000, 0.000, 5.408]],
  "species": ["La", "Y", "Y", "Y", "N"],
  "frac_coords": [[0.000, 0.000, 0.000], [0.000, 0.000, 0.500], [0.000, 0.500, 0.000], [0.500, 0.000, 0.000], [0.500, 0.500, 0.500]]
}

=====

# 20
{
  "formula": "NaLaNb4O12",
  "functional": "GGA-PBEsol",
  "state": "relaxed",
  "formation_energy_uncorrected_ev_per_atom": -2.66,
  "spacegroup": "I4/mmm (139)",
  "lattice": [[-2.789, 2.789, 7.972], [2.789, -2.789, 7.972], [2.789, 2.789, -7.972]],
  "species": ["Na", "La", "Nb", "Nb", "Nb", "Nb", "O", "O", "O", "O", "O", "O", "O", "O", "O", "O", "O", "O"],
  "frac_coords": [[0.000, 0.000, 0.000], [0.500, 0.500, 0.000], [0.129, 0.629, 0.500], [0.371, 0.871, 0.500], [0.629, 0.129, 0.500], [0.871, 0.371, 0.500], [0.000, 0.500, 0.500], [0.143, 0.143, 0.513], [0.143, 0.630, 0.000], [0.250, 0.750, 0.500], [0.370, 0.370, 0.513], [0.370, 0.857, 0.000], [0.500, 0.000, 0.500], [0.630, 0.143, 0.000], [0.630, 0.630, 0.487], [0.750, 0.250, 0.500], [0.857, 0.370, 0.000], [0.857, 0.857, 0.487]]
}